NiO2F | GGA+U | optimized geometry

The structure in extended XYZ format:
```
4
Lattice="1.4062 -3.3369 0.3237 -0.8552 -2.0625 2.8691 -2.1260 -2.9179 -0.4280" Properties=species:S:1:pos:R:3 pbc="T T T"
Ni -0.7875 -4.1586 1.3824
O -0.3937 -2.0793 0.6912
O -1.1812 -6.2380 2.0736
F 0.0000 0.0000 0.0000
```

Output
- N(E_F) (states/eV per cell) = 2.564
- space-group type = Fm-3m
- total DFT energy (no corrections) (eV per atom) = -3.04